(1)
A plane-wave DFT calculation with PBEsol was carried out for crystalline ScH3O3 at its relaxed geometry.

a = 6.6730 Å, b = 6.7316 Å, c = 6.7316 Å
α = 70.35°, β = 70.70°, γ = 109.30°
With the nearest neighbours (Å) after each atom.
Fractional coordinates of all 28 atoms:
Sc  0.5000  0.0000  0.0000  6 O 2.12
Sc  0.5000  0.5000  0.5000  6 O 2.10-2.14
Sc  0.0000  0.5000  0.0000  6 O 2.10-2.14
Sc  0.0000  0.0000  0.5000  6 O 2.10-2.14
H  0.6524  0.6870  0.0345  1 O 1.02
H  0.3476  0.3130  0.9655  1 O 1.02
H  0.7147  0.5410  0.8255  1 O 1.01
H  0.2853  0.4590  0.1745  1 O 1.01
H  0.3131  0.9655  0.7215  1 O 1.02
H  0.6869  0.0345  0.2785  1 O 1.02
H  0.4597  0.1745  0.3665  1 O 1.01
H  0.5403  0.8255  0.6335  1 O 1.01
H  0.1738  0.6335  0.5410  1 O 1.01
H  0.8262  0.3665  0.4590  1 O 1.01
H  0.9654  0.2785  0.6870  1 O 1.02
H  0.0346  0.7215  0.3130  1 O 1.02
O  0.5167  0.6822  0.1673  1 H 1.02
O  0.4833  0.3178  0.8327  1 H 1.02
O  0.8406  0.6698  0.8322  1 H 1.01
O  0.1594  0.3302  0.1678  1 H 1.01
O  0.3160  0.8327  0.8495  1 H 1.02
O  0.6840  0.1673  0.1505  1 H 1.02
O  0.3272  0.1678  0.5021  1 H 1.01
O  0.6728  0.8322  0.4979  1 H 1.01
O  0.1707  0.4979  0.6698  1 H 1.01
O  0.8293  0.5021  0.3302  1 H 1.01
O  0.8345  0.1505  0.6822  1 H 1.02
O  0.1655  0.8495  0.3178  1 H 1.02

## Properties
uncorrected energy = -6.58 eV/atom
symmetry = No. 148

---

(2)
A plane-wave DFT calculation with PBEsol was carried out for crystalline ScHO2 at its relaxed geometry.

a = 3.2364 Å, b = 4.0103 Å, c = 6.5553 Å
α = 90.00°, β = 104.29°, γ = 90.00°
With the nearest neighbours (Å) after each atom.
Fractional coordinates of all 8 atoms:
Sc  0.3253  0.7529  0.6507  6 O 2.07-2.14
Sc  0.6747  0.2529  0.3493  6 O 2.07-2.14
H  0.9871  0.5573  0.9741  1 O 1.02
H  0.0129  0.0573  0.0259  1 O 1.02
O  0.7147  0.7520  0.4295  4 Sc 2.07-2.14
O  0.2853  0.2520  0.5705  4 Sc 2.07-2.14
O  0.9336  0.7484  0.8672  1 H 1.02
O  0.0664  0.2484  0.1328  1 H 1.02

## Properties
uncorrected energy = -7.75 eV/atom
symmetry = No. 36

---

(3)
A plane-wave DFT calculation with PBEsol was carried out for crystalline Sc2HO at its relaxed geometry.

a = 3.4068 Å, b = 3.4068 Å, c = 6.5519 Å
α = 74.93°, β = 74.93°, γ = 60.00°
With the nearest neighbours (Å) after each atom.
Fractional coordinates of all 4 atoms:
Sc  0.9004  0.9004  0.2987  1 O 1.87
Sc  0.0996  0.0996  0.7013  1 O 1.87
H  0.5000  0.5000  0.5000  6 Sc 2.33
O  0.0000  0.0000  0.0000  2 Sc 1.87

## Properties
uncorrected energy = -6.62 eV/atom
symmetry = No. 166

---

(4)
A plane-wave DFT calculation with PBEsol was carried out for crystalline ScHO2 at its relaxed geometry.

a = 3.3224 Å, b = 4.0942 Å, c = 5.5282 Å
α = 109.71°, β = 90.00°, γ = 90.00°
With the nearest neighbours (Å) after each atom.
Fractional coordinates of all 8 atoms:
Sc  0.2500  0.6660  0.3128  7 O 2.09-2.27
Sc  0.7500  0.3340  0.6872  7 O 2.09-2.27
H  0.7500  0.9972  0.0824  1 O 0.98
H  0.2500  0.0028  0.9176  1 O 0.98
O  0.7500  0.7688  0.5574  4 Sc 2.09-2.18
O  0.2500  0.2312  0.4426  4 Sc 2.09-2.18
O  0.7500  0.7500  0.0612  1 H 0.98
O  0.2500  0.2500  0.9388  1 H 0.98

## Properties
uncorrected energy = -7.71 eV/atom
symmetry = No. 11

---

(5)
A plane-wave DFT calculation with PBEsol was carried out for crystalline ScHO2 at its relaxed geometry.

a = 3.1983 Å, b = 3.1983 Å, c = 8.9897 Å
α = 90.00°, β = 90.00°, γ = 120.00°
With the nearest neighbours (Å) after each atom.
Fractional coordinates of all 8 atoms:
Sc  0.0000  0.0000  0.5000  6 O 2.12
Sc  0.0000  0.0000  0.0000  6 O 2.12
H  0.3333  0.6667  0.2500  2 O 1.21
H  0.6667  0.3333  0.7500  2 O 1.21
O  0.3333  0.6667  0.3848  1 H 1.21
O  0.3333  0.6667  0.1152  1 H 1.21
O  0.6667  0.3333  0.8848  1 H 1.21
O  0.6667  0.3333  0.6152  1 H 1.21

## Properties
uncorrected energy = -7.72 eV/atom
symmetry = No. 194

---

(6)
A plane-wave DFT calculation with PBEsol was carried out for crystalline ScHO2 at its relaxed geometry.

a = 3.5774 Å, b = 3.5774 Å, c = 3.5774 Å
α = 60.00°, β = 60.00°, γ = 60.00°
With the nearest neighbours (Å) after each atom.
Fractional coordinates of all 4 atoms:
Sc  0.5000  0.5000  0.5000  8 O 2.19
H  0.0000  0.0000  0.0000  8 O 2.19
O  0.2500  0.2500  0.2500  4 H 2.19, 4 Sc 2.19
O  0.7500  0.7500  0.7500  4 Sc 2.19, 4 H 2.19

## Properties
uncorrected energy = -6.69 eV/atom
symmetry = No. 225

---

(7)
A plane-wave DFT calculation with PBEsol was carried out for crystalline ScHO2 at its relaxed geometry.

a = 3.2018 Å, b = 4.7240 Å, c = 10.2212 Å
α = 90.00°, β = 90.00°, γ = 90.00°
With the nearest neighbours (Å) after each atom.
Fractional coordinates of all 16 atoms:
Sc  0.2500  0.4223  0.3573  6 O 2.06-2.20
Sc  0.2500  0.0777  0.8573  6 O 2.06-2.20
Sc  0.7500  0.5777  0.6427  6 O 2.06-2.20
Sc  0.7500  0.9223  0.1427  6 O 2.06-2.20
H  0.2500  0.1107  0.5979  1 O 1.02
H  0.2500  0.3893  0.0979  1 O 1.02
H  0.7500  0.8893  0.4021  1 O 1.02
H  0.7500  0.6107  0.9021  1 O 1.02
O  0.2500  0.8293  0.6916  1 H 1.64
O  0.2500  0.6707  0.1916  1 H 1.64
O  0.7500  0.1707  0.3084  1 H 1.64
O  0.7500  0.3293  0.8084  1 H 1.64
O  0.2500  0.3112  0.5619  1 H 1.02
O  0.2500  0.1888  0.0619  1 H 1.02
O  0.7500  0.6888  0.4381  1 H 1.02
O  0.7500  0.8112  0.9381  1 H 1.02

## Properties
uncorrected energy = -7.75 eV/atom
symmetry = No. 62

---

(8)
A plane-wave DFT calculation with PBEsol was carried out for crystalline ScHO2 at its relaxed geometry.

a = 3.2002 Å, b = 3.2002 Å, c = 4.8538 Å
α = 70.75°, β = 70.75°, γ = 60.00°
With the nearest neighbours (Å) after each atom.
Fractional coordinates of all 4 atoms:
Sc  0.5000  0.5000  0.5000  6 O 2.12
H  0.0000  0.0000  0.0000  2 O 1.21
O  0.9100  0.9100  0.2699  1 H 1.21
O  0.0900  0.0900  0.7301  1 H 1.21

## Properties
uncorrected energy = -7.72 eV/atom
symmetry = No. 166

---

(9)
A plane-wave DFT calculation with PBEsol was carried out for crystalline SmH5Se2O8 at its relaxed geometry.

a = 6.7641 Å, b = 7.0639 Å, c = 15.9707 Å
α = 90.00°, β = 90.00°, γ = 90.00°
With the nearest neighbours (Å) after each atom.
Fractional coordinates of all 64 atoms:
Sm  0.1237  0.6594  0.7214  8 O 2.28-2.54
Sm  0.3763  0.3406  0.2214  8 O 2.28-2.54
Sm  0.6237  0.8406  0.2786  8 O 2.28-2.54
Sm  0.8763  0.1594  0.7786  8 O 2.28-2.54
H  0.0401  0.7753  0.5346  1 O 1.01
H  0.4599  0.2247  0.0346  1 O 1.01
H  0.5401  0.7247  0.4654  1 O 1.01
H  0.9599  0.2753  0.9654  1 O 1.01
H  0.0176  0.9660  0.5936  1 O 1.01
H  0.4824  0.0340  0.0936  1 O 1.01
H  0.5176  0.5340  0.4064  1 O 1.01
H  0.9824  0.4660  0.9064  1 O 1.01
H  0.0166  0.7293  0.3947  1 O 1.00
H  0.4834  0.2707  0.8947  1 O 1.00
H  0.5166  0.7707  0.6053  1 O 1.00
H  0.9834  0.2293  0.1053  1 O 1.00
H  0.8282  0.6515  0.4388  1 O 1.01
H  0.6718  0.3485  0.9388  1 O 1.01
H  0.3282  0.8485  0.5612  1 O 1.01
H  0.1718  0.1515  0.0612  1 O 1.01
H  0.0333  0.3994  0.4478  1 O 1.01
H  0.4667  0.6006  0.9478  1 O 1.01
H  0.5333  0.1006  0.5522  1 O 1.01
H  0.9667  0.8994  0.0522  1 O 1.01
Se  0.6615  0.6715  0.7730  3 O 1.71-1.74
Se  0.8385  0.3285  0.2730  3 O 1.71-1.74
Se  0.1615  0.8285  0.2270  3 O 1.71-1.74
Se  0.3385  0.1715  0.7270  3 O 1.71-1.74
Se  0.9066  0.3603  0.5729  3 O 1.69-1.80
Se  0.5934  0.6397  0.0729  3 O 1.69-1.80
Se  0.4066  0.1397  0.4271  3 O 1.69-1.80
Se  0.0934  0.8603  0.9271  3 O 1.69-1.80
O  0.8111  0.4833  0.7420  1 Se 1.74
O  0.6889  0.5167  0.2420  1 Se 1.74
O  0.3111  0.0167  0.2580  1 Se 1.74
O  0.1889  0.9833  0.7580  1 Se 1.74
O  0.8980  0.1518  0.6272  1 H 1.63, 1 Se 1.71
O  0.6020  0.8482  0.1272  1 H 1.63, 1 Se 1.71
O  0.3980  0.3482  0.3728  1 H 1.63, 1 Se 1.71
O  0.1020  0.6518  0.8728  1 H 1.63, 1 Se 1.71
O  0.1151  0.4628  0.6086  1 Se 1.69
O  0.3849  0.5372  0.1086  1 Se 1.69
O  0.6151  0.0372  0.3914  1 Se 1.69
O  0.8849  0.9628  0.8914  1 Se 1.69
O  0.0058  0.2743  0.4756  1 H 1.01
O  0.4942  0.7257  0.9756  1 H 1.01
O  0.5058  0.2257  0.5244  1 H 1.01
O  0.9942  0.7743  0.0244  1 H 1.01
O  0.8114  0.8392  0.7272  1 Se 1.72
O  0.6886  0.1608  0.2272  1 Se 1.72
O  0.3114  0.6608  0.2728  1 Se 1.72
O  0.1886  0.3392  0.7728  1 Se 1.72
O  0.4702  0.6600  0.7036  1 Se 1.71, 1 H 1.78
O  0.0298  0.3400  0.2036  1 Se 1.71, 1 H 1.78
O  0.9702  0.8400  0.2964  1 Se 1.71, 1 H 1.78
O  0.5298  0.1600  0.7964  1 Se 1.71, 1 H 1.78
O  0.0936  0.8434  0.5857  2 H 1.01
O  0.4064  0.1566  0.0857  2 H 1.01
O  0.5936  0.6566  0.4143  2 H 1.01
O  0.9064  0.3434  0.9143  2 H 1.01
O  0.9768  0.6584  0.4462  2 H 1.00-1.01
O  0.5232  0.3416  0.9462  2 H 1.00-1.01
O  0.4768  0.8416  0.5538  2 H 1.00-1.01
O  0.0232  0.1584  0.0538  2 H 1.00-1.01

## Properties
uncorrected energy = -5.84 eV/atom
symmetry = No. 19

---

(10)
A plane-wave DFT calculation with PBEsol was carried out for crystalline ZnH12SeO10 at its relaxed geometry.

a = 6.8658 Å, b = 6.8658 Å, c = 18.3807 Å
α = 90.00°, β = 90.00°, γ = 90.00°
With the nearest neighbours (Å) after each atom.
Fractional coordinates of all 96 atoms:
Zn  0.2214  0.2214  0.0000  6 O 2.01-2.16
Zn  0.2786  0.7214  0.2500  6 O 2.01-2.16
Zn  0.7214  0.2786  0.7500  6 O 2.01-2.16
Zn  0.7786  0.7786  0.5000  6 O 2.01-2.16
H  0.7148  0.0079  0.3826  1 O 1.01
H  0.2852  0.9921  0.8826  1 O 1.01
H  0.0079  0.7148  0.6174  1 O 1.01
H  0.5079  0.7852  0.1326  1 O 1.01
H  0.4921  0.2148  0.6326  1 O 1.01
H  0.7852  0.5079  0.8674  1 O 1.01
H  0.2148  0.4921  0.3674  1 O 1.01
H  0.9921  0.2852  0.1174  1 O 1.01
H  0.5148  0.9916  0.4320  1 O 1.00
H  0.4852  0.0084  0.9320  1 O 1.00
H  0.9916  0.5148  0.5680  1 O 1.00
H  0.4916  0.9852  0.1820  1 O 1.00
H  0.5084  0.0148  0.6820  1 O 1.00
H  0.9852  0.4916  0.8180  1 O 1.00
H  0.0148  0.5084  0.3180  1 O 1.00
H  0.0084  0.4852  0.0680  1 O 1.00
H  0.6117  0.4614  0.4381  1 O 1.00
H  0.3883  0.5386  0.9381  1 O 1.00
H  0.4614  0.6117  0.5619  1 O 1.00
H  0.9614  0.8883  0.1881  1 O 1.00
H  0.0386  0.1117  0.6881  1 O 1.00
H  0.8883  0.9614  0.8119  1 O 1.00
H  0.1117  0.0386  0.3119  1 O 1.00
H  0.0945  0.8607  0.0400  1 O 0.99
H  0.8416  0.4205  0.4564  1 O 0.99
H  0.1584  0.5795  0.9564  1 O 0.99
H  0.4205  0.8416  0.5436  1 O 0.99
H  0.9205  0.6584  0.2064  1 O 0.99
H  0.0795  0.3416  0.7064  1 O 0.99
H  0.6584  0.9205  0.7936  1 O 0.99
H  0.3416  0.0795  0.2936  1 O 0.99
H  0.5795  0.1584  0.0436  1 O 0.99
H  0.0692  0.7318  0.4036  1 O 1.01
H  0.9308  0.2682  0.9036  1 O 1.01
H  0.7318  0.0692  0.5964  1 O 1.01
H  0.2318  0.4308  0.1536  1 O 1.01
H  0.7682  0.5692  0.6536  1 O 1.01
H  0.4308  0.2318  0.8464  1 O 1.01
H  0.5692  0.7682  0.3464  1 O 1.01
H  0.2682  0.9308  0.0964  1 O 1.01
H  0.1393  0.9055  0.4600  1 O 0.99
H  0.8607  0.0945  0.9600  1 O 0.99
H  0.9055  0.1393  0.5400  1 O 0.99
H  0.4055  0.3607  0.2100  1 O 0.99
H  0.5945  0.6393  0.7100  1 O 0.99
H  0.3607  0.4055  0.7900  1 O 0.99
H  0.6393  0.5945  0.2900  1 O 0.99
H  0.5386  0.3883  0.0619  1 O 1.00
Se  0.7167  0.7167  0.0000  4 O 1.67
Se  0.7833  0.2167  0.2500  4 O 1.67
Se  0.2167  0.7833  0.7500  4 O 1.67
Se  0.2833  0.2833  0.5000  4 O 1.67
O  0.3229  0.0437  0.4927  1 Se 1.67, 3 H 1.69-1.80
O  0.6771  0.9563  0.9927  1 Se 1.67, 3 H 1.69-1.80
O  0.0437  0.3229  0.5073  1 Se 1.67, 3 H 1.69-1.80
O  0.5437  0.1771  0.2427  1 Se 1.67, 3 H 1.69-1.80
O  0.4563  0.8229  0.7427  1 Se 1.67, 3 H 1.69-1.80
O  0.1771  0.5437  0.7573  1 Se 1.67, 3 H 1.69-1.80
O  0.8229  0.4563  0.2573  1 Se 1.67, 3 H 1.69-1.80
O  0.9563  0.6771  0.0073  1 Se 1.67, 3 H 1.69-1.80
O  0.3732  0.3910  0.4261  1 Se 1.67, 2 H 1.68-1.72
O  0.6268  0.6090  0.9261  1 Se 1.67, 2 H 1.68-1.72
O  0.3910  0.3732  0.5739  1 Se 1.67, 2 H 1.68-1.72
O  0.8910  0.1268  0.1761  1 Se 1.67, 2 H 1.68-1.72
O  0.1090  0.8732  0.6761  1 Se 1.67, 2 H 1.68-1.72
O  0.1268  0.8910  0.8239  1 Se 1.67, 2 H 1.68-1.72
O  0.8732  0.1090  0.3239  1 Se 1.67, 2 H 1.68-1.72
O  0.6090  0.6268  0.0739  1 Se 1.67, 2 H 1.68-1.72
O  0.6272  0.9182  0.4110  2 H 1.00-1.01
O  0.3728  0.0818  0.9110  2 H 1.00-1.01
O  0.9182  0.6272  0.5890  2 H 1.00-1.01
O  0.4182  0.8728  0.1610  2 H 1.00-1.01
O  0.5818  0.1272  0.6610  2 H 1.00-1.01
O  0.8728  0.4182  0.8390  2 H 1.00-1.01
O  0.1272  0.5818  0.3390  2 H 1.00-1.01
O  0.0818  0.3728  0.0890  2 H 1.00-1.01
O  0.1911  0.9642  0.0515  2 H 0.99-1.01
O  0.2552  0.4799  0.9421  2 H 0.99-1.00
O  0.5201  0.7448  0.5579  2 H 0.99-1.00
O  0.0201  0.7552  0.1921  2 H 0.99-1.00
O  0.9799  0.2448  0.6921  2 H 0.99-1.00
O  0.7552  0.0201  0.8079  2 H 0.99-1.00
O  0.2448  0.9799  0.3079  2 H 0.99-1.00
O  0.4799  0.2552  0.0579  2 H 0.99-1.00
O  0.0358  0.8089  0.4485  2 H 0.99-1.01
O  0.9642  0.1911  0.9485  2 H 0.99-1.01
O  0.8089  0.0358  0.5515  2 H 0.99-1.01
O  0.3089  0.4642  0.1985  2 H 0.99-1.01
O  0.6911  0.5358  0.6985  2 H 0.99-1.01
O  0.4642  0.3089  0.8015  2 H 0.99-1.01
O  0.5358  0.6911  0.3015  2 H 0.99-1.01
O  0.7448  0.5201  0.4421  2 H 0.99-1.00

## Properties
uncorrected energy = -5.10 eV/atom
symmetry = No. 92

---

(11)
A plane-wave DFT calculation with PBEsol was carried out for crystalline SiH2O at its relaxed geometry.

a = 3.0091 Å, b = 3.0091 Å, c = 4.9699 Å
α = 73.91°, β = 73.91°, γ = 67.60°
With the nearest neighbours (Å) after each atom.
Fractional coordinates of all 4 atoms:
H  0.2556  0.2556  0.2887  1 O 0.99
H  0.6082  0.6082  0.7971  3 Si 1.83
Si  0.2640  0.2640  0.7411  1 O 1.68, 3 H 1.83
O  0.4012  0.4012  0.3831  1 H 0.99

## Properties
uncorrected energy = -4.83 eV/atom
symmetry = No. 8

---

(12)
A plane-wave DFT calculation with PBEsol was carried out for crystalline Si2H2O5 at its relaxed geometry.

a = 4.9896 Å, b = 5.5183 Å, c = 8.6362 Å
α = 108.63°, β = 98.56°, γ = 90.00°
With the nearest neighbours (Å) after each atom.
Fractional coordinates of all 18 atoms:
Si  0.5227  0.8173  0.3127  4 O 1.62-1.63
Si  0.6135  0.1856  0.6911  4 O 1.62-1.64
Si  0.1135  0.5056  0.6911  4 O 1.62-1.64
Si  0.0227  0.4955  0.3127  4 O 1.62-1.63
H  0.2675  0.0454  0.1700  1 O 1.00
H  0.7412  0.9322  0.8388  1 O 1.00
H  0.2412  0.9066  0.8388  1 O 1.00
H  0.7675  0.1246  0.1700  1 O 1.00
O  0.5278  0.0047  0.5007  2 Si 1.62
O  0.0278  0.4960  0.5007  2 Si 1.62
O  0.8185  0.7096  0.2812  2 Si 1.62
O  0.9254  0.2952  0.7257  2 Si 1.62
O  0.4254  0.4305  0.7257  2 Si 1.62
O  0.3185  0.5715  0.2812  2 Si 1.62
O  0.4509  0.9752  0.1823  1 H 1.00
O  0.5758  0.0254  0.8171  1 H 1.00
O  0.0758  0.7918  0.8171  1 H 1.00
O  0.9509  0.2071  0.1823  1 H 1.00

## Properties
uncorrected energy = -7.12 eV/atom
symmetry = No. 9
relative energy among the computed polymorphs = 22.0 meV/atom